VASP calculation (PBE) on an optimized crystal structure of PrGdZnFe.

abc: 5.048 5.048 5.048
angles: 60.00 60.00 60.00
Last column: magnetic moment on the atom in μB.
Positions (direct):
Zn (0.500, 0.500, 0.500)  -0.02
Fe (0.000, 0.000, 0.000)  2.02
Gd (0.250, 0.250, 0.250)  6.82
Pr (0.750, 0.750, 0.750)  -0.19

## Properties
ΔH_f (0 K) = 11 kJ/mol of formula units
Theoretical density = 7.66 g cm⁻³
N(E_F) = 5.70 states/eV/f.u.